(1)
This record from the Alexandria database describes crystalline CaMo2Ru at its relaxed geometry. The functional is PBE.

SG: F-43m
Distance to the lowest polymorph of the same formula: 131 meV per atom
Total magnetic moment: 0.002 μB/f.u.
Energy of formation from the pure elements: 0.541 eV per atom
Volume: 68.0 Å³ per cell

a = 4.581 Å, b = 4.581 Å, c = 4.581 Å
α = 60.00°, β = 60.00°, γ = 60.00°
Sites, in units of the cell vectors:
Ca 0.000 0.000 0.000
Mo 0.500 0.500 0.500
Mo 0.750 0.750 0.750
Ru 0.250 0.250 0.250


(2)
This record from the Alexandria database describes crystalline Li2AgSnPb at its relaxed geometry. The functional is PBE.

SG: Pmma
Total magnetic moment: 0.000 μB/f.u.
Energy of formation from the pure elements: -0.150 eV per atom
Volume: 228.9 Å³ per cell

a = 5.454 Å, b = 6.035 Å, c = 6.954 Å
α = 90.00°, β = 90.00°, γ = 90.00°
Sites, in units of the cell vectors:
Li 0.250 0.247 0.211
Li 0.250 0.753 0.211
Li 0.750 0.247 0.789
Li 0.750 0.753 0.789
Ag 0.000 0.500 0.500
Ag 0.500 0.500 0.500
Sn 0.250 0.500 0.860
Sn 0.750 0.500 0.140
Pb 0.250 0.000 0.656
Pb 0.750 0.000 0.344


(3)
This record from the Alexandria database describes crystalline LiP2Ru at its relaxed geometry. The functional is PBE.

SG: Cmmm
Distance to the lowest polymorph of the same formula: 297 meV per atom
Total magnetic moment: 0.000 μB/f.u.
Energy of formation from the pure elements: -0.059 eV per atom
Volume: 56.8 Å³ per cell

a = 2.876 Å, b = 2.876 Å, c = 7.990 Å
α = 90.00°, β = 90.00°, γ = 120.69°
Sites, in units of the cell vectors:
Li 0.000 0.000 0.000
P 0.500 0.500 0.259
P 0.500 0.500 0.741
Ru 0.000 0.000 0.500


(4)
This record from the Alexandria database describes crystalline Sr6Te2Se3I at its relaxed geometry. The functional is PBE.

SG: C2/m
Total magnetic moment: 0.000 μB/f.u.
Raw formation energy: -21.67 eV/f.u.
Volume: 410.1 Å³ per cell

a = 10.282 Å, b = 10.282 Å, c = 9.222 Å
α = 103.70°, β = 103.70°, γ = 25.70°
Sites, in units of the cell vectors:
Sr 0.004 0.004 0.227
Sr 0.324 0.324 0.423
Sr 0.336 0.336 0.909
Sr 0.664 0.664 0.091
Sr 0.676 0.676 0.577
Sr 0.996 0.996 0.773
Te 0.164 0.164 0.828
Te 0.836 0.836 0.172
Se 0.164 0.164 0.334
Se 0.500 0.500 0.000
Se 0.836 0.836 0.666
I 0.500 0.500 0.500


(5)
This record from the Alexandria database describes crystalline ReS2O at its relaxed geometry. The functional is PBE.

SG: I-42d
Total magnetic moment: 0.000 μB/f.u.
Raw formation energy: 1.48 eV/f.u.
Volume: 138.5 Å³ per cell

a = 6.049 Å, b = 6.049 Å, c = 6.049 Å
α = 126.46°, β = 126.46°, γ = 79.13°
Sites, in units of the cell vectors:
Re 0.000 0.000 0.000
Re 0.750 0.250 0.500
S 0.118 0.625 0.993
S 0.375 0.368 0.493
S 0.632 0.125 0.007
S 0.875 0.882 0.507
O 0.250 0.750 0.500
O 0.500 0.500 0.000


(6)
This record from the Alexandria database describes crystalline SrRe2F at its relaxed geometry. The functional is PBE.

SG: Fm-3m
Distance to the lowest polymorph of the same formula: 1007 meV per atom
Total magnetic moment: 5.540 μB/f.u.
Raw formation energy: 7.63 eV/f.u.
Volume: 80.2 Å³ per cell

a = 4.840 Å, b = 4.840 Å, c = 4.840 Å
α = 60.00°, β = 60.00°, γ = 60.00°
Sites, in units of the cell vectors:
Sr 0.000 0.000 0.000
Re 0.250 0.250 0.250
Re 0.750 0.750 0.750
F 0.500 0.500 0.500


(7)
This record from the Alexandria database describes crystalline Pm2Cd3Ge2 at its relaxed geometry. The functional is PBE.

SG: Cmmm
Total magnetic moment: 0.000 μB/f.u.
Energy of formation from the pure elements: -0.450 eV per atom
Volume: 172.5 Å³ per cell

a = 10.581 Å, b = 10.581 Å, c = 4.201 Å
α = 90.00°, β = 90.00°, γ = 158.48°
Sites, in units of the cell vectors:
Pm 0.170 0.830 0.000
Pm 0.830 0.170 0.000
Cd 0.000 0.000 0.000
Cd 0.430 0.570 0.500
Cd 0.570 0.430 0.500
Ge 0.290 0.710 0.500
Ge 0.710 0.290 0.500


(8)
This record from the Alexandria database describes crystalline PrAgPb at its relaxed geometry. The functional is PBE.

SG: Imm2
Total magnetic moment: 0.000 μB/f.u.
Energy of formation from the pure elements: -0.398 eV per atom
Volume: 161.6 Å³ per cell

a = 6.242 Å, b = 6.242 Å, c = 6.242 Å
α = 133.18°, β = 105.11°, γ = 93.16°
Sites, in units of the cell vectors:
Pr 0.000 0.000 0.000
Pr 0.528 0.028 0.500
Ag 0.385 0.684 0.701
Ag 0.982 0.684 0.299
Pb 0.109 0.351 0.758
Pb 0.592 0.351 0.242


(9)
This record from the Alexandria database describes crystalline LiInAsC2 at its relaxed geometry. The functional is PBE.

SG: P4/mmm
Total magnetic moment: 0.031 μB/f.u.
Energy of formation from the pure elements: 2.103 eV per atom
Volume: 105.3 Å³ per cell

a = 4.346 Å, b = 4.346 Å, c = 5.577 Å
α = 90.00°, β = 90.00°, γ = 90.00°
Sites, in units of the cell vectors:
Li 0.000 0.000 0.000
In 0.500 0.500 0.500
As 0.500 0.500 0.000
C 0.000 0.500 0.500
C 0.500 0.000 0.500


(10)
This record from the Alexandria database describes crystalline Li4Th3CuSe8 at its relaxed geometry. The functional is PBE.

SG: C2/m
Total magnetic moment: 0.000 μB/f.u.
Raw formation energy: -21.08 eV/f.u.
Volume: 378.4 Å³ per cell

a = 8.054 Å, b = 8.054 Å, c = 8.068 Å
α = 118.78°, β = 118.78°, γ = 60.55°
Sites, in units of the cell vectors:
Li 0.000 0.000 0.000
Li 0.000 0.500 0.500
Li 0.500 0.000 0.500
Li 0.500 0.500 0.000
Th 0.000 0.000 0.500
Th 0.000 0.500 0.000
Th 0.500 0.000 0.000
Cu 0.500 0.500 0.500
Se 0.246 0.246 0.254
Se 0.256 0.256 0.739
Se 0.260 0.736 0.744
Se 0.264 0.740 0.256
Se 0.736 0.260 0.744
Se 0.740 0.264 0.256
Se 0.744 0.744 0.261
Se 0.754 0.754 0.746